<1>
The following is a DFT calculation (PBE-GGA) of a relaxed P2W crystal.

a = 4.548 Å, b = 4.548 Å, c = 7.503 Å
α = 117.23°, β = 117.23°, γ = 40.99°
Atoms (fractional coordinates):
P 0.900 0.900 0.101
P 0.362 0.362 0.475
P 0.638 0.638 0.525
P 0.100 0.100 0.899
W 0.658 0.658 0.207
W 0.342 0.342 0.793

Properties
Total magnetic moment ... 0.00 μB/atom


<2>
The following is a DFT calculation (PBE-GGA) of a relaxed P2W crystal.

a = 6.057 Å, b = 6.057 Å, c = 3.091 Å
α = 90.00°, β = 90.00°, γ = 90.00°
Atoms (fractional coordinates):
P 0.288 0.288 0.000
P 0.712 0.712 0.000
P 0.788 0.212 0.500
P 0.212 0.788 0.500
W 0.000 0.000 0.000
W 0.500 0.500 0.500

Properties
Total magnetic moment ... 0.00 μB/atom


Verdict on stability: <1> comes out on top.


<1>
The following is a DFT calculation (PBE-GGA) of a relaxed Zn3P2 crystal.

a = 9.888 Å, b = 9.888 Å, c = 9.888 Å
α = 109.47°, β = 109.47°, γ = 109.47°
Atoms (fractional coordinates):
P 0.500 0.000 0.000
P 0.000 0.500 0.000
P 0.750 0.760 0.010
P 0.990 0.250 0.240
P 0.740 0.490 0.250
P 0.240 0.990 0.250
P 0.510 0.750 0.260
P 0.250 0.740 0.490
P 0.000 0.000 0.500
P 0.500 0.500 0.500
P 0.750 0.260 0.510
P 0.490 0.250 0.740
P 0.760 0.010 0.750
P 0.260 0.510 0.750
P 0.010 0.750 0.760
P 0.250 0.240 0.990
Zn 0.476 0.747 0.010
Zn 0.034 0.272 0.024
Zn 0.272 0.024 0.034
Zn 0.263 0.753 0.228
Zn 0.466 0.490 0.237
Zn 0.772 0.737 0.247
Zn 0.990 0.524 0.253
Zn 0.753 0.228 0.263
Zn 0.024 0.034 0.272
Zn 0.490 0.237 0.466
Zn 0.747 0.010 0.476
Zn 0.237 0.466 0.490
Zn 0.763 0.534 0.510
Zn 0.253 0.990 0.524
Zn 0.510 0.763 0.534
Zn 0.976 0.966 0.728
Zn 0.247 0.772 0.737
Zn 0.010 0.476 0.747
Zn 0.228 0.263 0.753
Zn 0.534 0.510 0.763
Zn 0.737 0.247 0.772
Zn 0.728 0.976 0.966
Zn 0.966 0.728 0.976
Zn 0.524 0.253 0.990


<2>
The following is a DFT calculation (PBE-GGA) of a relaxed Zn3P2 crystal.

a = 5.688 Å, b = 5.688 Å, c = 5.688 Å
α = 90.00°, β = 90.00°, γ = 90.00°
Atoms (fractional coordinates):
P 0.750 0.250 0.250
P 0.250 0.750 0.250
P 0.250 0.250 0.750
P 0.750 0.750 0.750
Zn 0.500 0.000 0.000
Zn 0.000 0.500 0.000
Zn 0.500 0.500 0.000
Zn 0.000 0.000 0.500
Zn 0.500 0.000 0.500
Zn 0.000 0.500 0.500


<3>
The following is a DFT calculation (PBE-GGA) of a relaxed Zn3P2 crystal.

a = 8.091 Å, b = 8.091 Å, c = 11.409 Å
α = 90.00°, β = 90.00°, γ = 90.00°
Atoms (fractional coordinates):
P 0.754 0.246 0.000
P 0.246 0.246 0.000
P 0.246 0.754 0.000
P 0.754 0.754 0.000
P 0.500 0.000 0.246
P 0.500 0.500 0.246
P 0.000 0.000 0.254
P 0.000 0.500 0.254
P 0.746 0.746 0.500
P 0.746 0.254 0.500
P 0.254 0.746 0.500
P 0.254 0.254 0.500
P 0.500 0.000 0.746
P 0.000 0.000 0.746
P 0.500 0.500 0.754
P 0.000 0.500 0.754
Zn 0.500 0.283 0.106
Zn 0.500 0.717 0.106
Zn 0.000 0.283 0.116
Zn 0.000 0.717 0.116
Zn 0.247 0.000 0.147
Zn 0.753 0.000 0.147
Zn 0.253 0.500 0.353
Zn 0.747 0.500 0.353
Zn 0.500 0.217 0.384
Zn 0.500 0.783 0.384
Zn 0.000 0.217 0.394
Zn 0.000 0.783 0.394
Zn 0.217 0.000 0.606
Zn 0.783 0.000 0.606
Zn 0.217 0.500 0.616
Zn 0.783 0.500 0.616
Zn 0.500 0.253 0.647
Zn 0.500 0.747 0.647
Zn 0.000 0.247 0.853
Zn 0.000 0.753 0.853
Zn 0.283 0.000 0.884
Zn 0.717 0.000 0.884
Zn 0.283 0.500 0.894
Zn 0.717 0.500 0.894


Verdict on stability: <3> comes out on top.


<1>
The following is a DFT calculation (PBE-GGA) of a relaxed PaTaPb crystal.

a = 5.002 Å, b = 5.002 Å, c = 5.002 Å
α = 60.00°, β = 60.00°, γ = 60.00°
Atoms (fractional coordinates):
Pa 0.000 0.000 0.000
Pb 0.250 0.250 0.250
Ta 0.750 0.750 0.750

Properties
Total magnetic moment ... 0.59 μB/atom


<2>
The following is a DFT calculation (PBE-GGA) of a relaxed PaTaPb crystal.

a = 4.896 Å, b = 4.896 Å, c = 4.896 Å
α = 60.00°, β = 60.00°, γ = 60.00°
Atoms (fractional coordinates):
Pa 0.500 0.500 0.500
Pb 0.250 0.250 0.250
Ta 0.000 0.000 0.000

Properties
Total magnetic moment ... 0.00 μB/atom


Verdict on stability: <2> comes out on top.


<1>
The following is a DFT calculation (PBE-GGA) of a relaxed PaTePb crystal.

a = 5.199 Å, b = 5.199 Å, c = 5.199 Å
α = 60.00°, β = 60.00°, γ = 60.00°
Atoms (fractional coordinates):
Pa 0.000 0.000 0.000
Pb 0.250 0.250 0.250
Te 0.750 0.750 0.750

Properties
Total magnetic moment ... 0.19 μB/atom


<2>
The following is a DFT calculation (PBE-GGA) of a relaxed PaTePb crystal.

a = 5.143 Å, b = 5.143 Å, c = 5.143 Å
α = 60.00°, β = 60.00°, γ = 60.00°
Each line ends with the local moment (μB).
Atoms (fractional coordinates):
Pa 0.250 0.250 0.250  0.81
Pb 0.750 0.750 0.750  0.03
Te 0.000 0.000 0.000  0.01

Properties
Total magnetic moment ... 0.33 μB/atom


Verdict on stability: <1> comes out on top.


<1>
The following is a DFT calculation (PBE-GGA) of a relaxed PaTlPb crystal.

a = 5.178 Å, b = 5.178 Å, c = 5.178 Å
α = 60.00°, β = 60.00°, γ = 60.00°
Atoms (fractional coordinates):
Pa 0.250 0.250 0.250
Pb 0.750 0.750 0.750
Tl 0.000 0.000 0.000

Properties
Total magnetic moment ... 0.57 μB/atom


<2>
The following is a DFT calculation (PBE-GGA) of a relaxed PaTlPb crystal.

a = 5.223 Å, b = 5.223 Å, c = 5.223 Å
α = 60.00°, β = 60.00°, γ = 60.00°
Atoms (fractional coordinates):
Pa 0.000 0.000 0.000
Pb 0.250 0.250 0.250
Tl 0.750 0.750 0.750

Properties
Total magnetic moment ... 0.48 μB/atom


Verdict on stability: <2> comes out on top.


<1>
The following is a DFT calculation (PBE-GGA) of a relaxed ScPaPd crystal.

a = 4.641 Å, b = 4.641 Å, c = 4.641 Å
α = 60.00°, β = 60.00°, γ = 60.00°
Each line ends with the local moment (μB).
Atoms (fractional coordinates):
Pa 0.000 0.000 0.000  0.12
Pd 0.250 0.250 0.250  -0.01
Sc 0.750 0.750 0.750  0.06

Properties
Total magnetic moment ... 0.06 μB/atom


<2>
The following is a DFT calculation (PBE-GGA) of a relaxed ScPaPd crystal.

a = 4.726 Å, b = 4.726 Å, c = 4.726 Å
α = 60.00°, β = 60.00°, γ = 60.00°
Each line ends with the local moment (μB).
Atoms (fractional coordinates):
Pa 0.250 0.250 0.250  0.64
Pd 0.000 0.000 0.000  0.01
Sc 0.750 0.750 0.750  0.13

Properties
Total magnetic moment ... 0.34 μB/atom


Verdict on stability: <2> comes out on top.


<1>
The following is a DFT calculation (PBE-GGA) of a relaxed PmPa crystal.

a = 4.527 Å, b = 4.527 Å, c = 4.527 Å
α = 60.00°, β = 60.00°, γ = 60.00°
Each line ends with the local moment (μB).
Atoms (fractional coordinates):
Pa 0.000 0.000 0.000  0.75
Pm 0.250 0.250 0.250  0.26

Properties
Total magnetic moment ... 0.56 μB/atom


<2>
The following is a DFT calculation (PBE-GGA) of a relaxed PmPa crystal.

a = 4.337 Å, b = 4.337 Å, c = 4.337 Å
α = 60.00°, β = 60.00°, γ = 60.00°
Atoms (fractional coordinates):
Pa 0.000 0.000 0.000
Pm 0.500 0.500 0.500

Properties
Total magnetic moment ... 0.01 μB/atom


Verdict on stability: <2> comes out on top.


<1>
The following is a DFT calculation (PBE-GGA) of a relaxed ZrPaPt crystal.

a = 4.738 Å, b = 4.738 Å, c = 4.738 Å
α = 60.00°, β = 60.00°, γ = 60.00°
Atoms (fractional coordinates):
Pa 0.250 0.250 0.250
Pt 0.000 0.000 0.000
Zr 0.750 0.750 0.750

Properties
Total magnetic moment ... 0.64 μB/atom


<2>
The following is a DFT calculation (PBE-GGA) of a relaxed ZrPaPt crystal.

a = 4.663 Å, b = 4.663 Å, c = 4.663 Å
α = 60.00°, β = 60.00°, γ = 60.00°
Atoms (fractional coordinates):
Pa 0.000 0.000 0.000
Pt 0.250 0.250 0.250
Zr 0.750 0.750 0.750

Properties
Total magnetic moment ... 0.00 μB/atom


Verdict on stability: <1> comes out on top.


<1>
The following is a DFT calculation (PBE-GGA) of a relaxed PuPa crystal.

a = 3.815 Å, b = 3.815 Å, c = 3.815 Å
α = 60.00°, β = 60.00°, γ = 60.00°
Each line ends with the local moment (μB).
Atoms (fractional coordinates):
Pa 0.000 0.000 0.000  -0.11
Pu 0.500 0.500 0.500  2.34

Properties
Total magnetic moment ... 1.09 μB/atom


<2>
The following is a DFT calculation (PBE-GGA) of a relaxed PuPa crystal.

a = 4.090 Å, b = 4.090 Å, c = 4.090 Å
α = 60.00°, β = 60.00°, γ = 60.00°
Each line ends with the local moment (μB).
Atoms (fractional coordinates):
Pa 0.000 0.000 0.000  0.18
Pu 0.250 0.250 0.250  1.93

Properties
Total magnetic moment ... 1.00 μB/atom


<3>
The following is a DFT calculation (PBE-GGA) of a relaxed PuPa crystal.

a = 8.084 Å, b = 4.422 Å, c = 5.014 Å
α = 90.00°, β = 90.00°, γ = 90.00°
Atoms (fractional coordinates):
Pa 0.665 0.750 0.003
Pa 0.165 0.750 0.497
Pa 0.835 0.250 0.503
Pa 0.335 0.250 0.997
Pu 0.987 0.750 0.061
Pu 0.487 0.750 0.439
Pu 0.513 0.250 0.561
Pu 0.013 0.250 0.939

Properties
Total magnetic moment ... 0.00 μB/atom


<4>
The following is a DFT calculation (PBE-GGA) of a relaxed PuPa crystal.

a = 3.848 Å, b = 3.848 Å, c = 6.316 Å
α = 90.00°, β = 90.00°, γ = 120.00°
Each line ends with the local moment (μB).
Atoms (fractional coordinates):
Pa 0.000 0.000 0.000  -0.03
Pa 0.000 0.000 0.500  -0.01
Pu 0.667 0.333 0.250  2.97
Pu 0.333 0.667 0.750  2.97

Properties
Total magnetic moment ... 1.42 μB/atom


Verdict on stability: <3> comes out on top.


<1>
The following is a DFT calculation (PBE-GGA) of a relaxed ScPaRe crystal.

a = 4.641 Å, b = 4.641 Å, c = 4.641 Å
α = 60.00°, β = 60.00°, γ = 60.00°
Each line ends with the local moment (μB).
Atoms (fractional coordinates):
Pa 0.750 0.750 0.750  0.13
Re 0.000 0.000 0.000  -0.01
Sc 0.250 0.250 0.250  0.03

Properties
Total magnetic moment ... 0.07 μB/atom


<2>
The following is a DFT calculation (PBE-GGA) of a relaxed ScPaRe crystal.

a = 4.589 Å, b = 4.589 Å, c = 4.589 Å
α = 60.00°, β = 60.00°, γ = 60.00°
Atoms (fractional coordinates):
Pa 0.000 0.000 0.000
Re 0.250 0.250 0.250
Sc 0.750 0.750 0.750

Properties
Total magnetic moment ... 0.00 μB/atom


Verdict on stability: <1> comes out on top.


<1>
The following is a DFT calculation (PBE-GGA) of a relaxed PaTaRe crystal.

a = 4.494 Å, b = 4.494 Å, c = 4.494 Å
α = 60.00°, β = 60.00°, γ = 60.00°
Atoms (fractional coordinates):
Pa 0.000 0.000 0.000
Re 0.250 0.250 0.250
Ta 0.750 0.750 0.750

Properties
Total magnetic moment ... 0.00 μB/atom


<2>
The following is a DFT calculation (PBE-GGA) of a relaxed PaTaRe crystal.

a = 4.572 Å, b = 4.572 Å, c = 4.572 Å
α = 60.00°, β = 60.00°, γ = 60.00°
Atoms (fractional coordinates):
Pa 0.750 0.750 0.750
Re 0.000 0.000 0.000
Ta 0.250 0.250 0.250

Properties
Total magnetic moment ... 0.00 μB/atom


Verdict on stability: <2> comes out on top.


<1>
The following is a DFT calculation (PBE-GGA) of a relaxed PaReTc crystal.

a = 4.460 Å, b = 4.460 Å, c = 4.460 Å
α = 60.00°, β = 60.00°, γ = 60.00°
Atoms (fractional coordinates):
Pa 0.000 0.000 0.000
Re 0.250 0.250 0.250
Tc 0.500 0.500 0.500

Properties
Total magnetic moment ... 0.01 μB/atom


<2>
The following is a DFT calculation (PBE-GGA) of a relaxed PaReTc crystal.

a = 4.418 Å, b = 4.418 Å, c = 4.418 Å
α = 60.00°, β = 60.00°, γ = 60.00°
Atoms (fractional coordinates):
Pa 0.000 0.000 0.000
Re 0.250 0.250 0.250
Tc 0.750 0.750 0.750

Properties
Total magnetic moment ... 0.00 μB/atom


Verdict on stability: <1> comes out on top.